Compound: Cs2KPrBr6
Source: Alexandria
Functional: PBE
Structure: optimized geometry

As for the volume: 44.82 Å³/atom. The value obtained for the energy relative to the elements, uncorrected is -1.843 eV per atom. The calculated total energy comes out at -3.605 eV per atom. As for the total magnetization: 0.0 μB per formula unit.

The structure belongs to space group Fm-3m (No. 225); the cell edges are 12.148, 12.148 and 12.148 Å and the angles 90.00°, 90.00° and 90.00°. Symmetry generates all atoms from Cs at (0.250, 0.250, 0.250), K at (0.000, 0.000, 0.000), Pr at (0.000, 0.000, 0.500) and Br at (0.000, 0.000, 0.261).